DFT (SCAN) results for HPbSCl2 at its PBEsol-relaxed geometry.

Properties
The density of states at the Fermi level comes out at 5.16 states/eV/f.u. The energy is -20.632 eV per atom. The value obtained for the magnetization is 1.9 μB per cell.

a = 5.347 Å, b = 5.347 Å, c = 5.154 Å
α = 90.00°, β = 90.00°, γ = 90.00°
Site moments in Bohr magnetons follow the coordinates.
Element x y z (fractional)
H (0.500, 0.500, 0.500)  0.38
Cl (0.500, 0.000, 0.000)  0.07
Cl (0.000, 0.500, 0.000)  0.07
Pb (0.000, 0.000, 0.000)  0.00
S (0.000, 0.000, 0.500)  0.45